1.
# ZnCrSi4O10 (GGA+U, relaxed)
data_ZnCrSi4O10
_chemical_formula_sum 'Zn4 Cr4 Si16 O40'
_symmetry_space_group_name_H-M 'P 4/n c c'
_symmetry_Int_Tables_number 130
_cell_length_a 7.3223
_cell_length_b 7.3223
_cell_length_c 14.9995
_cell_angle_alpha 90.00
_cell_angle_beta 90.00
_cell_angle_gamma 90.00
loop_
_symmetry_equiv_pos_as_xyz
'x,y,z'
'-x,-y,-z'
'-y+1/2,x,z'
'y+1/2,-x,-z'
'-x+1/2,-y+1/2,z'
'x+1/2,y+1/2,-z'
'y,-x+1/2,z'
'-y,x+1/2,-z'
'x+1/2,-y,-z+1/2'
'-x+1/2,y,z+1/2'
'-y,-x,-z+1/2'
'y,x,z+1/2'
'-x,y+1/2,-z+1/2'
'x,-y+1/2,z+1/2'
'y+1/2,x+1/2,-z+1/2'
'-y+1/2,-x+1/2,z+1/2'
loop_
_atom_site_label
_atom_site_fract_x
_atom_site_fract_y
_atom_site_fract_z
Zn1 0.2500 0.7500 0.0000
Cr1 0.2500 0.2500 0.0686
Si1 0.0130 0.5954 0.1458
O1 0.0037 0.1859 0.8727
O2 0.0227 0.6654 0.4244
O3 0.0649 0.5649 0.2500
# E_tot in eV/atom: -7.45

---

2.
# ZrCrSiO6 (GGA+U, relaxed)
data_ZrCrSiO6
_chemical_formula_sum 'Zr2 Cr2 Si2 O12'
_symmetry_space_group_name_H-M 'P 42 n m'
_symmetry_Int_Tables_number 102
_cell_length_a 4.5855
_cell_length_b 4.5855
_cell_length_c 8.9639
_cell_angle_alpha 90.00
_cell_angle_beta 90.00
_cell_angle_gamma 90.00
loop_
_symmetry_equiv_pos_as_xyz
'x,y,z'
'-y+1/2,x+1/2,z+1/2'
'-x,-y,z'
'y+1/2,-x+1/2,z+1/2'
'-x+1/2,y+1/2,z+1/2'
'y,x,z'
'x+1/2,-y+1/2,z+1/2'
'-y,-x,z'
loop_
_atom_site_label
_atom_site_fract_x
_atom_site_fract_y
_atom_site_fract_z
Zr1 0.0000 0.0000 0.0000
Cr1 0.0000 0.0000 0.3306
Si1 0.0000 0.0000 0.6630
O1 0.1781 0.1781 0.5094
O2 0.1945 0.1945 0.8099
O3 0.2200 0.2200 0.1710
# E_tot in eV/atom: -8.08

---

3.
# ZrCr2SiO (GGA+U, relaxed)
data_ZrCr2SiO
_chemical_formula_sum 'Zr1 Cr2 Si1 O1'
_symmetry_space_group_name_H-M 'P 4/m m m'
_symmetry_Int_Tables_number 123
_symmetry_space_group_name_Hall '-P 4 2'
_cell_length_a 5.2083
_cell_length_b 5.2083
_cell_length_c 3.4126
_cell_angle_alpha 90.00
_cell_angle_beta 90.00
_cell_angle_gamma 90.00
loop_
_atom_site_label
_atom_site_fract_x
_atom_site_fract_y
_atom_site_fract_z
Zr1 0.0000 0.0000 0.0000
Cr1 0.0000 0.5000 0.5000
Si1 0.5000 0.5000 0.5000
O1 0.5000 0.5000 0.0000
# E_tot in eV/atom: -6.41